# 1
{"formula": "LiTl2In", "functional": "GGA-PBE", "state": "optimized geometry", "ef_ev_per_atom": 0.02, "sg": "I-42d (122)", "total_energy_ev_per_cell": -18.61, "cell": [[-4.1123, 4.1123, 3.2156], [4.1123, -4.1123, 3.2156], [4.1123, 4.1123, -3.2156]], "species": ["Li", "Li", "Tl", "Tl", "Tl", "Tl", "In", "In"], "frac_coords": [[0.0000, 0.0000, 0.0000], [0.7500, 0.2500, 0.5000], [0.0992, 0.6250, 0.9742], [0.3750, 0.3492, 0.4742], [0.6508, 0.1250, 0.0258], [0.8750, 0.9008, 0.5258], [0.2500, 0.7500, 0.5000], [0.5000, 0.5000, 0.0000]]}


# 2
{"formula": "GeTe2PtN", "functional": "GGA-PBE", "state": "optimized geometry", "sg": "P4/mmm (123)", "total_energy_ev_per_cell": -22.81, "formation_energy_uncorrected_kj_per_mol_atoms": 47, "cell": [[5.6288, 0.0000, 0.0000], [0.0000, 5.6288, 0.0000], [0.0000, 0.0000, 3.6889]], "species": ["Ge", "Te", "Te", "Pt", "N"], "frac_coords": [[0.0000, 0.0000, 0.0000], [0.0000, 0.5000, 0.5000], [0.5000, 0.0000, 0.5000], [0.5000, 0.5000, 0.5000], [0.5000, 0.5000, 0.0000]]}


# 3
{"formula": "Er4PCSe2", "functional": "GGA-PBE", "state": "optimized geometry", "sg": "P2/m (10)", "total_energy_ev_per_cell": -51.55, "formation_energy_uncorrected_kj_per_mol_atoms": -141, "cell": [[6.7403, 0.0000, 0.0000], [0.0000, 3.8507, 0.0000], [-2.2127, 0.0000, 6.5414]], "species": ["Er", "Er", "Er", "Er", "P", "C", "Se", "Se"], "frac_coords": [[0.2194, 0.0000, 0.2098], [0.2391, 0.5000, 0.7824], [0.7609, 0.5000, 0.2176], [0.7806, 0.0000, 0.7902], [0.5000, 0.0000, 0.0000], [0.0000, 0.5000, 0.0000], [0.0000, 0.0000, 0.5000], [0.5000, 0.5000, 0.5000]]}